{"formula": "RbGaAs", "functional": "PBE-GGA", "state": "relaxed", "dos_ef_per_ev_atom": 0.402, "total_energy_ev_per_atom": -3.25, "lattice": [[-2.013, 4.822, 5.175], [2.013, -4.822, 5.175], [2.013, 4.822, -5.175]], "species": ["Rb", "Rb", "Ga", "Ga", "As", "As"], "frac_coords": [[0.202, 0.202, 0.000], [0.798, 0.798, 0.000], [0.370, 0.000, 0.370], [0.630, 0.000, 0.630], [0.230, 0.500, 0.730], [0.770, 0.500, 0.270]]}